# 1
Density functional theory data (PBE) for ErFe2B4 after structural relaxation.

Geometry as CIF:
```
data_ErFe2B4
_cell_length_a 3.061
_cell_length_b 3.265
_cell_length_c 13.623
_cell_angle_alpha 90.00
_cell_angle_beta 90.00
_cell_angle_gamma 90.00
_symmetry_space_group_name_H-M 'I m m m'
_symmetry_Int_Tables_number 71
_symmetry_space_group_name_Hall '-I 2 2'
loop_
_atom_site_label
_atom_site_type_symbol
_atom_site_fract_x
_atom_site_fract_y
_atom_site_fract_z
_atom_site_occupancy
Er1 Er 0.000 0.000 0.000 1
Fe1 Fe 0.000 0.500 0.308 1
B1 B 0.000 0.000 0.401 1
B2 B 0.000 0.500 0.156 1
```

Output
V	68.1	Å³/f.u.
D(E_F)	4.45	states/eV/f.u.
energy of formation	-0.35	eV/atom

# 2
Density functional theory data (PBE) for Hf2PaZn2Ga2 after structural relaxation.

Geometry as CIF:
```
data_Hf2PaZn2Ga2
_cell_length_a 4.3712
_cell_length_b 4.3712
_cell_length_c 25.0705
_cell_angle_alpha 90.00
_cell_angle_beta 90.00
_cell_angle_gamma 120.00
_symmetry_space_group_name_H-M 'R -3 m'
_symmetry_Int_Tables_number 166
_symmetry_space_group_name_Hall '-R 3 2"'
loop_
_atom_site_label
_atom_site_type_symbol
_atom_site_fract_x
_atom_site_fract_y
_atom_site_fract_z
_atom_site_occupancy
Hf1 Hf 0.0000 0.0000 0.1299 1
Pa1 Pa 0.0000 0.0000 0.0000 1
Zn1 Zn 0.0000 0.0000 0.4025 1
Ga1 Ga 0.0000 0.0000 0.2564 1
```

Output
V	138.3	Å³/f.u.
D(E_F)	5.68	states/eV/f.u.
energy of formation	-0.09	eV/atom

# 3
Density functional theory data (PBE) for MnNiCl after structural relaxation.

Geometry as CIF:
```
data_MnNiCl
_cell_length_a 5.859
_cell_length_b 5.859
_cell_length_c 5.859
_cell_angle_alpha 90.00
_cell_angle_beta 90.00
_cell_angle_gamma 90.00
_symmetry_space_group_name_H-M 'F -4 3 m'
_symmetry_Int_Tables_number 216
_symmetry_space_group_name_Hall 'F -4 2 3'
loop_
_atom_site_label
_atom_site_type_symbol
_atom_site_fract_x
_atom_site_fract_y
_atom_site_fract_z
_atom_site_occupancy
Mn1 Mn 0.000 0.000 0.000 1
Ni1 Ni 0.250 0.250 0.250 1
Cl1 Cl 0.250 0.250 0.750 1
```

Output
polymorph energy (0 for the lowest one)	750	meV/atom
V	50.3	Å³/f.u.
D(E_F)	1.94	states/eV/f.u.

# 4
Density functional theory data (PBE) for Gd2TlCd after structural relaxation.

Geometry as CIF:
```
data_Gd2TlCd
_cell_length_a 3.7353
_cell_length_b 3.7353
_cell_length_c 29.3865
_cell_angle_alpha 90.00
_cell_angle_beta 90.00
_cell_angle_gamma 120.00
_symmetry_space_group_name_H-M 'R -3 m'
_symmetry_Int_Tables_number 166
_symmetry_space_group_name_Hall '-R 3 2"'
loop_
_atom_site_label
_atom_site_type_symbol
_atom_site_fract_x
_atom_site_fract_y
_atom_site_fract_z
_atom_site_occupancy
Gd1 Gd 0.0000 0.0000 0.2505 1
Tl1 Tl 0.0000 0.0000 0.5000 1
Cd1 Cd 0.0000 0.0000 0.0000 1
```

Output
polymorph energy (0 for the lowest one)	185	meV/atom
V	118.4	Å³/f.u.
D(E_F)	4.43	states/eV/f.u.
energy of formation	-0.20	eV/atom